Compound: RbScBr3
Source: Alexandria
Functional: GGA-PBE
Structure: relaxed

The structure in POSCAR format:
```
RbScBr3
1.0
-3.116 7.087 4.514
3.116 -7.087 4.514
3.116 7.087 -4.514
Rb Sc Br
2 2 6
Direct
0.000 0.000 0.000 Rb
0.500 0.000 0.500 Rb
0.500 0.000 0.000 Sc
0.500 0.500 0.500 Sc
0.241 0.634 0.607 Br
0.248 0.998 0.250 Br
0.472 0.366 0.107 Br
0.528 0.634 0.893 Br
0.752 0.002 0.750 Br
0.759 0.366 0.393 Br
```

Properties
**Space-group type**: Imma, No. 74

Compound: RbScBr3
Source: Alexandria
Functional: GGA-PBE
Structure: relaxed

The structure in POSCAR format:
```
RbScBr3
1.0
4.604 2.658 4.965
-4.604 2.658 4.965
0.000 -5.316 4.965
Rb Sc Br
1 1 3
Direct
0.000 0.000 0.000 Rb
0.748 0.748 0.748 Sc
0.486 0.945 0.945 Br
0.945 0.486 0.945 Br
0.945 0.945 0.486 Br
```

Properties
**Space-group type**: R3m, No. 160

Compound: RbScBr3
Source: Alexandria
Functional: GGA-PBE
Structure: relaxed

The structure in POSCAR format:
```
RbScBr3
1.0
7.833 0.000 0.000
-3.916 6.783 0.000
0.000 0.000 6.205
Rb Sc Br
2 2 6
Direct
0.333 0.667 0.250 Rb
0.667 0.333 0.750 Rb
0.000 0.000 0.000 Sc
0.000 0.000 0.500 Sc
0.168 0.335 0.750 Br
0.168 0.832 0.750 Br
0.335 0.168 0.250 Br
0.665 0.832 0.750 Br
0.832 0.168 0.250 Br
0.832 0.665 0.250 Br
```

Properties
**Space-group type**: P6_3/mmc, No. 194

Compound: RbScBr3
Source: Alexandria
Functional: GGA-PBE
Structure: relaxed

The structure in POSCAR format:
```
RbScBr3
1.0
6.679 0.000 0.000
0.000 7.294 0.000
-1.249 0.000 7.845
Rb Sc Br
2 2 6
Direct
0.212 0.250 0.462 Rb
0.788 0.750 0.538 Rb
0.067 0.750 0.061 Sc
0.933 0.250 0.939 Sc
0.203 0.503 0.855 Br
0.203 0.997 0.855 Br
0.268 0.750 0.382 Br
0.732 0.250 0.618 Br
0.797 0.003 0.145 Br
0.797 0.497 0.145 Br
```

Properties
**Space-group type**: P2_1/m, No. 11

Compound: RbScBr3
Source: Alexandria
Functional: GGA-PBE
Structure: relaxed

The structure in POSCAR format:
```
RbScBr3
1.0
3.920 -9.938 0.000
3.920 9.938 0.000
0.000 0.000 7.062
Rb Sc Br
2 2 6
Direct
0.182 0.818 0.750 Rb
0.818 0.182 0.250 Rb
0.404 0.596 0.750 Sc
0.596 0.404 0.250 Sc
0.064 0.417 0.750 Br
0.417 0.064 0.250 Br
0.500 0.500 0.000 Br
0.500 0.500 0.500 Br
0.583 0.936 0.750 Br
0.936 0.583 0.250 Br
```

Properties
**Space-group type**: Cmcm, No. 63

Compound: Rb2ScSeBr6
Source: Alexandria
Functional: GGA-PBE
Structure: relaxed

The structure in POSCAR format:
```
Rb2ScSeBr6
1.0
-4.268 4.268 5.277
4.268 -4.268 5.277
4.268 4.268 -5.277
Rb Sc Se Br
2 1 1 6
Direct
0.250 0.750 0.500 Rb
0.750 0.250 0.500 Rb
0.000 0.000 0.000 Sc
0.500 0.500 0.000 Se
0.217 0.217 0.435 Br
0.217 0.783 0.000 Br
0.260 0.260 0.000 Br
0.740 0.740 0.000 Br
0.783 0.217 0.000 Br
0.783 0.783 0.565 Br
```

Properties
**Space-group type**: I4/mmm, No. 139

Compound: RbScSe2Br
Source: Alexandria
Functional: GGA-PBE
Structure: relaxed

The structure in POSCAR format:
```
RbScSe2Br
1.0
5.196 0.000 0.000
0.000 5.196 0.000
0.000 0.000 5.679
Rb Sc Se Br
1 1 2 1
Direct
0.000 0.000 0.000 Rb
0.500 0.500 0.500 Sc
0.000 0.500 0.500 Se
0.500 0.000 0.500 Se
0.500 0.500 0.000 Br
```

Properties
**Space-group type**: P4/mmm, No. 123
**Polymorph energy (0 for the lowest one)**: 0.0 meV/atom

Compound: RbScSe2Br
Source: Alexandria
Functional: GGA-PBE
Structure: relaxed

The structure in POSCAR format:
```
RbScSe2Br
1.0
5.682 0.000 0.000
0.000 5.682 0.000
0.000 0.000 5.757
Rb Sc Se Br
1 1 2 1
Direct
0.000 0.000 0.000 Rb
0.500 0.500 0.500 Sc
0.000 0.500 0.000 Se
0.500 0.000 0.000 Se
0.000 0.000 0.500 Br
```

Properties
**Space-group type**: P4/mmm, No. 123
**Polymorph energy (0 for the lowest one)**: 1763.1 meV/atom

Compound: RbScSe2Br
Source: Alexandria
Functional: GGA-PBE
Structure: relaxed

The structure in POSCAR format:
```
RbScSe2Br
1.0
5.022 0.000 0.000
0.000 5.022 0.000
0.000 0.000 11.641
Rb Sc Se Br
1 1 2 1
Direct
0.000 0.000 0.000 Rb
0.000 0.000 0.500 Sc
0.000 0.500 0.500 Se
0.500 0.000 0.500 Se
0.500 0.500 0.000 Br
```

Properties
**Space-group type**: P4/mmm, No. 123
**Polymorph energy (0 for the lowest one)**: 299.5 meV/atom

Compound: RbScSn2Br8
Source: Alexandria
Functional: GGA-PBE
Structure: relaxed

The structure in POSCAR format:
```
RbScSn2Br8
1.0
7.337 0.000 0.000
-0.561 7.858 0.000
-2.516 -2.089 8.176
Rb Sc Sn Br
1 1 2 8
Direct
0.000 0.000 0.000 Rb
0.000 0.000 0.500 Sc
0.480 0.379 0.750 Sn
0.520 0.621 0.250 Sn
0.143 0.278 0.425 Br
0.174 0.799 0.322 Br
0.262 0.580 0.925 Br
0.320 0.057 0.770 Br
0.680 0.943 0.230 Br
0.738 0.420 0.075 Br
0.826 0.201 0.678 Br
0.857 0.722 0.575 Br
```

Properties
**Space-group type**: P-1, No. 2

Compound: RbScSnBr6
Source: Alexandria
Functional: GGA-PBE
Structure: relaxed

The structure in POSCAR format:
```
RbScSnBr6
1.0
7.438 0.000 0.000
-3.719 6.441 0.000
0.000 0.000 7.484
Rb Sc Sn Br
1 1 1 6
Direct
0.000 0.000 0.000 Rb
0.667 0.333 0.500 Sc
0.333 0.667 0.500 Sn
0.386 0.032 0.710 Br
0.386 0.354 0.290 Br
0.646 0.032 0.290 Br
0.646 0.614 0.710 Br
0.968 0.354 0.710 Br
0.968 0.614 0.290 Br
```

Properties
**Space-group type**: P312, No. 149

Compound: Rb2ScTcBr6
Source: Alexandria
Functional: GGA-PBE
Structure: relaxed

The structure in POSCAR format:
```
Rb2ScTcBr6
1.0
0.000 5.301 5.301
5.301 0.000 5.301
5.301 5.301 0.000
Rb Sc Tc Br
2 1 1 6
Direct
0.250 0.250 0.250 Rb
0.750 0.750 0.750 Rb
0.000 0.000 0.000 Sc
0.500 0.500 0.500 Tc
0.253 0.253 0.747 Br
0.253 0.747 0.253 Br
0.253 0.747 0.747 Br
0.747 0.253 0.253 Br
0.747 0.253 0.747 Br
0.747 0.747 0.253 Br
```

Properties
**Space-group type**: Fm-3m, No. 225

Compound: RbScTe2Br
Source: Alexandria
Functional: GGA-PBE
Structure: relaxed

The structure in POSCAR format:
```
RbScTe2Br
1.0
5.620 0.000 0.000
0.000 5.620 0.000
0.000 0.000 5.646
Rb Sc Te Br
1 1 2 1
Direct
0.000 0.000 0.000 Rb
0.500 0.500 0.500 Sc
0.000 0.500 0.500 Te
0.500 0.000 0.500 Te
0.500 0.500 0.000 Br
```

Properties
**Space-group type**: P4/mmm, No. 123

Compound: Rb2ScTeBr6
Source: Alexandria
Functional: GGA-PBE
Structure: relaxed

The structure in POSCAR format:
```
Rb2ScTeBr6
1.0
-3.954 3.954 6.449
3.954 -3.954 6.449
3.954 3.954 -6.449
Rb Sc Te Br
2 1 1 6
Direct
0.250 0.750 0.500 Rb
0.750 0.250 0.500 Rb
0.000 0.000 0.000 Sc
0.500 0.500 0.000 Te
0.204 0.204 0.000 Br
0.240 0.240 0.480 Br
0.240 0.760 0.000 Br
0.760 0.240 0.000 Br
0.760 0.760 0.520 Br
0.796 0.796 0.000 Br
```

Properties
**Space-group type**: I4/mmm, No. 139

Compound: RbScTl2Br6
Source: Alexandria
Functional: GGA-PBE
Structure: relaxed

The structure in POSCAR format:
```
RbScTl2Br6
1.0
4.053 2.340 6.932
-4.053 2.340 6.932
0.000 -4.680 6.932
Rb Sc Tl Br
1 1 2 6
Direct
0.000 0.000 0.000 Rb
0.491 0.491 0.491 Sc
0.287 0.287 0.287 Tl
0.797 0.797 0.797 Tl
0.156 0.682 0.397 Br
0.270 0.599 0.816 Br
0.397 0.156 0.682 Br
0.599 0.816 0.270 Br
0.682 0.397 0.156 Br
0.816 0.270 0.599 Br
```

Properties
**Space-group type**: R3, No. 146

Compound: Rb2ScTlBr6
Source: Alexandria
Functional: GGA-PBE
Structure: relaxed

The structure in POSCAR format:
```
Rb2ScTlBr6
1.0
0.000 5.832 5.832
5.832 0.000 5.832
5.832 5.832 0.000
Rb Sc Tl Br
2 1 1 6
Direct
0.250 0.250 0.250 Rb
0.750 0.750 0.750 Rb
0.000 0.000 0.000 Sc
0.500 0.500 0.500 Tl
0.228 0.228 0.772 Br
0.228 0.772 0.228 Br
0.228 0.772 0.772 Br
0.772 0.228 0.228 Br
0.772 0.228 0.772 Br
0.772 0.772 0.228 Br
```

Properties
**Space-group type**: Fm-3m, No. 225
**Polymorph energy (0 for the lowest one)**: 37.2 meV/atom

Compound: Rb2ScTlBr6
Source: Alexandria
Functional: GGA-PBE
Structure: relaxed

The structure in POSCAR format:
```
Rb2ScTlBr6
1.0
7.924 0.000 0.000
0.000 8.372 0.000
-7.898 0.000 11.442
Rb Sc Tl Br
4 2 2 12
Direct
0.223 0.075 0.248 Rb
0.223 0.425 0.748 Rb
0.777 0.575 0.252 Rb
0.777 0.925 0.752 Rb
0.000 0.000 0.500 Sc
0.000 0.500 0.000 Sc
0.500 0.000 0.000 Tl
0.500 0.500 0.500 Tl
0.112 0.229 0.946 Br
0.112 0.271 0.446 Br
0.228 0.673 0.951 Br
0.228 0.827 0.451 Br
0.322 0.027 0.722 Br
0.322 0.473 0.222 Br
0.678 0.527 0.778 Br
0.678 0.973 0.278 Br
0.772 0.173 0.549 Br
0.772 0.327 0.049 Br
0.888 0.729 0.554 Br
0.888 0.771 0.054 Br
```

Properties
**Space-group type**: P2_1/c, No. 14
**Polymorph energy (0 for the lowest one)**: 0.0 meV/atom

Compound: Rb2ScVBr6
Source: Alexandria
Functional: GGA-PBE
Structure: relaxed

The structure in POSCAR format:
```
Rb2ScVBr6
1.0
0.000 5.421 5.421
5.421 0.000 5.421
5.421 5.421 0.000
Rb Sc V Br
2 1 1 6
Direct
0.250 0.250 0.250 Rb
0.750 0.750 0.750 Rb
0.000 0.000 0.000 Sc
0.500 0.500 0.500 V
0.250 0.250 0.750 Br
0.250 0.750 0.250 Br
0.250 0.750 0.750 Br
0.750 0.250 0.250 Br
0.750 0.250 0.750 Br
0.750 0.750 0.250 Br
```

Properties
**Space-group type**: Fm-3m, No. 225

Compound: RbY2ScBr
Source: Alexandria
Functional: GGA-PBE
Structure: relaxed

The structure in POSCAR format:
```
RbY2ScBr
1.0
5.838 0.000 0.000
0.000 5.838 0.000
0.000 0.000 5.046
Rb Y Sc Br
1 2 1 1
Direct
0.000 0.000 0.000 Rb
0.000 0.500 0.000 Y
0.500 0.000 0.000 Y
0.000 0.000 0.500 Sc
0.500 0.500 0.500 Br
```

Properties
**Space-group type**: P4/mmm, No. 123

Compound: Rb2YScBr6
Source: Alexandria
Functional: GGA-PBE
Structure: relaxed

The structure in POSCAR format:
```
Rb2YScBr6
1.0
-3.940 3.940 5.567
3.940 -3.940 5.567
3.940 3.940 -5.567
Rb Y Sc Br
2 1 1 6
Direct
0.250 0.750 0.500 Rb
0.750 0.250 0.500 Rb
0.000 0.000 0.000 Y
0.500 0.500 0.000 Sc
0.254 0.254 0.000 Br
0.254 0.254 0.508 Br
0.254 0.746 0.000 Br
0.746 0.254 0.000 Br
0.746 0.746 0.000 Br
0.746 0.746 0.492 Br
```

Properties
**Space-group type**: I4/mmm, No. 139

Compound: Rb2ScZnBr6
Source: Alexandria
Functional: GGA-PBE
Structure: relaxed

The structure in POSCAR format:
```
Rb2ScZnBr6
1.0
-3.908 3.908 5.502
3.908 -3.908 5.502
3.908 3.908 -5.502
Rb Sc Zn Br
2 1 1 6
Direct
0.250 0.750 0.500 Rb
0.750 0.250 0.500 Rb
0.000 0.000 0.000 Sc
0.500 0.500 0.000 Zn
0.243 0.243 0.485 Br
0.243 0.757 0.000 Br
0.244 0.244 0.000 Br
0.756 0.756 0.000 Br
0.757 0.243 0.000 Br
0.757 0.757 0.515 Br
```

Properties
**Space-group type**: I4/mmm, No. 139

Compound: Rb2Se2Br7
Source: Alexandria
Functional: GGA-PBE
Structure: relaxed

The structure in POSCAR format:
```
Rb2Se2Br7
1.0
5.201 -5.975 0.000
5.201 5.975 0.000
-0.584 0.000 7.665
Rb Se Br
2 2 7
Direct
0.236 0.764 0.000 Rb
0.764 0.236 0.000 Rb
0.248 0.248 0.502 Se
0.752 0.752 0.498 Se
0.079 0.405 0.738 Br
0.222 0.222 0.175 Br
0.405 0.079 0.738 Br
0.500 0.500 0.500 Br
0.595 0.921 0.262 Br
0.778 0.778 0.825 Br
0.921 0.595 0.262 Br
```

Properties
**Space-group type**: C2/m, No. 12

Compound: RbSe2Br
Source: Alexandria
Functional: GGA-PBE
Structure: relaxed

The structure in POSCAR format:
```
RbSe2Br
1.0
11.802 0.000 0.000
0.000 5.717 0.000
-2.938 0.000 9.923
Rb Se Br
4 8 4
Direct
0.150 0.054 0.212 Rb
0.150 0.446 0.712 Rb
0.850 0.554 0.288 Rb
0.850 0.946 0.788 Rb
0.399 0.050 0.650 Se
0.399 0.450 0.150 Se
0.434 0.717 0.336 Se
0.434 0.783 0.836 Se
0.566 0.217 0.164 Se
0.566 0.283 0.664 Se
0.601 0.550 0.850 Se
0.601 0.950 0.350 Se
0.155 0.552 0.391 Br
0.155 0.948 0.891 Br
0.845 0.052 0.109 Br
0.845 0.448 0.609 Br
```

Properties
**Space-group type**: P2_1/c, No. 14
**Polymorph energy (0 for the lowest one)**: 0.0 meV/atom

| no. | Fermi-level density of states (states/eV per cell) | raw total energy (eV per atom) |
| --- | --- | --- |
| 1 | 3.99 | -4.081 |
| 2 | 0.00 | -3.812 |
| 3 | 4.88 | -4.095 |
| 4 | 8.39 | -3.955 |
| 5 | 3.27 | -3.851 |
| 6 | 7.41 | -3.403 |
| 7 | 4.77 | -4.511 |
| 8 | 6.72 | -2.748 |
| 9 | 2.53 | -4.212 |
| 10 | 0.00 | -3.616 |
| 11 | 0.00 | -3.801 |
| 12 | 0.00 | -3.957 |
| 13 | 4.62 | -4.163 |
| 14 | 2.86 | -3.370 |
| 15 | 0.00 | -3.591 |
| 16 | 0.00 | -3.615 |
| 17 | 0.00 | -3.652 |
| 18 | 12.11 | -4.089 |
| 19 | 6.08 | -3.029 |
| 20 | 5.27 | -4.042 |
| 21 | 6.05 | -3.364 |
| 22 | 4.73 | -2.468 |
| 23 | 0.00 | -3.226 |